No. 1
Below is a geometry-optimized Pr2ZnPtO6 structure, with properties calculated at the PBE-GGA level.

The space group is P2_1/c (No. 14) and the conventional cell measures 5.549, 5.857 and 9.659 Å, with angles of 90.00, 124.91 and 90.00 degrees. The inequivalent atoms are Pr at (0.232, 0.067, 0.251), Zn at (0.500, 0.000, 0.000), Pt at (0.000, 0.000, 0.500), O at (0.137, 0.205, 0.946), O at (0.248, 0.697, 0.948) and O at (0.350, 0.032, 0.748).

The density of states at the Fermi level comes out at 0.00 states/eV/atom. The raw formation energy comes out at -2.141 eV per atom. The calculation puts the calculated density at 8.2 Mg/m³.

=====

No. 2
Below is a geometry-optimized Pr3PuO structure, with properties calculated at the PBE-GGA level.

The space group is Pm-3m (No. 221) and the conventional cell measures 5.106, 5.106 and 5.106 Å, with angles of 90.00, 90.00 and 90.00 degrees. The inequivalent atoms are Pr at (0.000, 0.000, 0.500), Pu at (0.500, 0.500, 0.500) and O at (0.000, 0.000, 0.000).

The density of states at the Fermi level comes out at 3.11 states/eV/atom. The raw formation energy comes out at -0.936 eV per atom. The calculation puts the calculated density at 8.5 Mg/m³.

=====

No. 3
Below is a geometry-optimized PrPu2O8 structure, with properties calculated at the PBE-GGA level.

The space group is C2/m (No. 12) and the conventional cell measures 10.329, 7.400 and 4.600 Å, with angles of 90.00, 94.35 and 90.00 degrees. The inequivalent atoms are Pr at (0.000, 0.000, 0.000), Pu at (0.128, 0.500, 0.264), O at (0.072, 0.500, 0.762), O at (0.122, 0.246, 0.252) and O at (0.184, 0.000, 0.732).

The density of states at the Fermi level comes out at 0.50 states/eV/atom. The raw formation energy comes out at -2.539 eV per atom. The calculation puts the calculated density at 7.2 Mg/m³.

=====

No. 4
Below is a geometry-optimized Pr6PuO12 structure, with properties calculated at the PBE-GGA level.

The space group is R-3 (No. 148, hexagonal axes) and the conventional cell measures 10.4014, 10.4014 and 9.9292 Å, with angles of 90.00, 90.00 and 120.00 degrees. The inequivalent atoms are Pr at (0.0433, 0.7888, 0.1435), Pu at (0.0000, 0.0000, 0.5000), O at (0.0354, 0.8106, 0.9023) and O at (0.0402, 0.8505, 0.3918).

The density of states at the Fermi level comes out at 0.43 states/eV/atom. The raw formation energy comes out at -3.239 eV per atom. The calculation puts the calculated density at 6.9 Mg/m³.

=====

No. 5
Below is a geometry-optimized Pr2Pu2O7 structure, with properties calculated at the PBE-GGA level.

The space group is Fd-3m (No. 227, origin choice 2) and the conventional cell measures 11.083, 11.083 and 11.083 Å, with angles of 90.00, 90.00 and 90.00 degrees. The inequivalent atoms are Pr at (0.000, 0.000, 0.000), Pu at (0.000, 0.000, 0.500), O at (0.094, 0.375, 0.875) and O at (0.125, 0.125, 0.125).

The density of states at the Fermi level comes out at 0.63 states/eV/atom. The raw formation energy comes out at -3.213 eV per atom. The calculation puts the calculated density at 8.6 Mg/m³.

=====

No. 6
Below is a geometry-optimized PrPuO4 structure, with properties calculated at the PBE-GGA level.

The space group is Imma (No. 74) and the conventional cell measures 7.228, 7.457 and 7.083 Å, with angles of 90.00, 90.00 and 90.00 degrees. The inequivalent atoms are Pr at (0.000, 0.250, 0.207), Pu at (0.250, 0.250, 0.750), O at (0.000, 0.077, 0.784) and O at (0.220, 0.250, 0.462).

The density of states at the Fermi level comes out at 1.05 states/eV/atom. The raw formation energy comes out at -3.018 eV per atom. The calculation puts the calculated density at 7.8 Mg/m³.